# 1
DFT (PBE) results for a relaxed structure of Pr7Al2Hg2.

Structure (POSCAR):
```
Pr7Al2Hg2
1.0
3.9539 -5.5918 0.0000
3.9539 5.5918 0.0000
0.0000 0.0000 8.1265
Pr Al Hg
7 2 2
Cartesian
0.0000 0.0000 0.0000
1.9769 2.7959 2.4003
1.9769 2.7959 5.7262
1.9769 -2.7959 2.4003
1.9769 -2.7959 5.7262
3.9539 0.0000 2.2318
3.9539 0.0000 5.8947
1.3017 0.0000 4.0633
6.6060 0.0000 4.0633
3.9539 2.3374 0.0000
3.9539 -2.3374 0.0000
```

The total energy is -3.83 eV/atom. The symmetry is Cmmm (65).

=====

# 2
DFT (PBE) results for a relaxed structure of ScCuRh.

Structure (POSCAR):
```
ScCuRh
1.0
4.2734 0.0000 0.0000
-2.1367 3.7009 0.0000
0.0000 0.0000 3.0883
Sc Cu Rh
1 1 1
Cartesian
0.0000 0.0000 0.0000
2.1367 1.2336 1.5389
0.0000 2.4673 1.5500
```

For the energy relative to the lowest polymorph listed for this composition, the calculation gives 0.17 eV/f.u. The total energy is -6.38 eV/atom. The symmetry is P3m1 (156).